DFT (GGA-PBEsol) results for a relaxed Sr2ReSe crystal.

abc: 4.377 4.377 6.257
angles: 90.00 90.00 90.00
Last column: magnetic moment on the atom in μB.
Element x y z (fractional)
Re 0.000 0.000 0.000  2.46
Se 0.500 0.500 0.500  0.05
Sr 0.000 0.000 0.500  0.00
Sr 0.500 0.500 0.000  0.01

Summary:
ΔE_f (raw) = 0.37 eV/atom
magnetization = 3.02 μB/cell